No. 1
RbFeCo2Ag (PBE-GGA, optimized geometry); energy relative to the elements = 1.188 eV per atom; theoretical density = 6.2 g cm⁻³
1.0
4.331 0.000 0.000
0.000 5.201 0.000
0.000 0.000 4.331
Co Rb Ag Fe
2 1 1 1
direct
0.000 0.000 0.500
0.500 0.000 0.000
0.500 0.500 0.500
0.000 0.500 0.000
0.000 0.000 0.000


No. 2
FeCoAg2Se (PBE-GGA, optimized geometry); theoretical density = 6.3 g cm⁻³; raw formation energy = 5.3 eV per formula unit
1.0
-2.333 2.596 -3.498
1.089 -3.054 -2.992
-4.182 -2.445 0.974
Co Se Ag Fe
1 1 2 1
direct
0.500 0.500 0.500
0.000 0.000 0.000
0.000 0.000 0.500
0.500 0.000 0.000
0.000 0.500 0.000